[1]
ThSb2Rh7, optimized geometry, DFT PBE-GGA; formation energy from raw total energies = -453 meV per atom
1.0
-2.782 -2.937 1.169
2.850 -1.657 2.620
-3.358 8.429 5.599
Sb Rh Th
2 7 1
Direct
0.325 0.325 0.650
0.675 0.675 0.350
0.599 0.099 0.198
0.500 0.500 0.000
0.250 0.750 0.500
0.401 0.901 0.802
0.901 0.401 0.802
0.750 0.250 0.500
0.099 0.599 0.198
0.000 0.000 0.000



[2]
Th4SbRh12, optimized geometry, DFT PBE-GGA; formation energy from raw total energies = -743 meV per atom
1.0
6.966 0.000 -2.463
-3.483 6.033 -2.463
0.000 0.000 7.388
Sb Rh Th
1 12 4
Direct
0.000 0.000 0.000
0.298 0.298 0.000
0.000 0.298 0.298
0.250 0.750 0.500
0.298 0.000 0.298
0.702 0.702 0.000
0.500 0.250 0.750
0.702 0.000 0.702
0.000 0.702 0.702
0.500 0.750 0.250
0.750 0.500 0.250
0.250 0.500 0.750
0.750 0.250 0.500
0.500 0.500 0.500
0.500 0.000 0.000
0.000 0.000 0.500
0.000 0.500 0.000



[3]
ThSb2Rh5, optimized geometry, DFT PBE-GGA; formation energy from raw total energies = -525 meV per atom
1.0
3.974 0.000 0.000
1.987 6.360 0.643
1.987 1.801 6.133
Rh Th Sb
5 1 2
Direct
0.000 0.500 0.500
0.369 0.431 0.832
0.631 0.168 0.569
0.631 0.569 0.168
0.369 0.832 0.431
0.000 0.000 0.000
0.241 0.259 0.259
0.759 0.741 0.741



[4]
ThSbRh4, optimized geometry, DFT PBE-GGA; formation energy from raw total energies = -471 meV per atom
1.0
5.369 0.000 0.000
2.684 4.649 0.000
2.684 1.550 4.384
Rh Sb Th
4 1 1
Direct
0.626 0.626 0.122
0.626 0.122 0.626
0.122 0.626 0.626
0.626 0.626 0.626
0.000 0.000 0.000
0.250 0.250 0.250



[5]
Ti2Sb2Rh, optimized geometry, DFT PBE-GGA; formation energy from raw total energies = -282 meV per atom
1.0
-0.684 -5.756 -4.008
6.341 1.215 -2.827
1.647 -2.131 2.779
Rh Sb Ti
2 4 4
Direct
0.500 0.500 0.000
0.000 0.000 0.000
0.844 0.656 0.000
0.156 0.344 0.000
0.344 0.844 0.000
0.656 0.156 0.000
0.856 0.356 0.500
0.356 0.144 0.500
0.144 0.644 0.500
0.644 0.856 0.500



[6]
TiSb3Rh, optimized geometry, DFT PBE-GGA; formation energy from raw total energies = 627 meV per atom; polymorph energy (0 for the lowest one) = 0.34 eV per formula unit
1.0
-3.625 -0.929 -3.530
-1.256 -4.354 2.436
-3.428 2.578 2.841
Rh Ti Sb
1 1 3
Direct
0.500 0.500 0.500
0.000 0.000 0.000
0.000 0.000 0.500
0.500 0.000 0.000
0.000 0.500 0.000



[7]
TiSb3Rh, optimized geometry, DFT PBE-GGA; formation energy from raw total energies = 558 meV per atom; polymorph energy (0 for the lowest one) = 0.00 eV per formula unit
1.0
5.109 0.000 0.000
0.000 5.109 0.000
0.000 0.000 5.109
Ti Sb Rh
1 3 1
Direct
0.500 0.500 0.500
0.000 0.000 0.500
0.500 0.000 0.000
0.000 0.500 0.000
0.000 0.000 0.000



[8]
Ti4SbRh, optimized geometry, DFT PBE-GGA; formation energy from raw total energies = -188 meV per atom
1.0
-1.997 -3.613 -1.869
0.219 -3.350 6.272
-5.537 7.223 -2.570
Ti Sb Rh
8 2 2
Direct
0.790 0.559 0.192
0.404 0.058 0.194
0.210 0.441 0.808
0.593 0.416 0.603
0.407 0.584 0.397
0.010 0.916 0.603
0.990 0.084 0.397
0.596 0.942 0.806
0.806 0.751 0.000
0.194 0.249 0.000
0.500 0.000 0.500
0.000 0.500 0.500



[9]
Ti3SbRh, optimized geometry, DFT PBE-GGA; formation energy from raw total energies = 56 meV per atom; polymorph energy (0 for the lowest one) = 0.00 eV per formula unit
1.0
-2.469 -0.226 4.014
3.789 -1.707 2.235
1.345 4.393 1.075
Ti Sb Rh
3 1 1
Direct
0.000 0.500 0.000
0.000 0.000 0.500
0.500 0.000 0.000
0.500 0.500 0.500
0.000 0.000 0.000



[10]
Ti2SbRh8, optimized geometry, DFT PBE-GGA; formation energy from raw total energies = -348 meV per atom; polymorph energy (0 for the lowest one) = 1.15 eV per formula unit
1.0
-2.090 -3.479 1.067
5.036 -1.674 4.407
-4.198 5.511 1.492
Rh Sb Ti
8 1 2
Direct
0.147 0.147 0.294
0.655 0.865 0.310
0.345 0.555 0.690
0.345 0.135 0.690
0.000 0.316 0.000
0.853 0.853 0.706
0.000 0.684 0.000
0.655 0.445 0.310
0.500 0.000 0.000
0.799 0.299 0.598
0.201 0.701 0.402



Q: What is the formation energy from raw total energies in the sixth record?
A: 627 meV per atom